(1)
Computed, not measured: a relaxed Cr2SiMo crystal at the PBE-GGA level of DFT.

Results
- symmetry = No. 122
- total magnetic moment (μB per atom) = 0.4897
- uncorrected formation energy (eV/f.u.) = 2.52

Lattice parameters (Å, degrees): 6.6657 6.6657 5.3558 51.52 51.52 90.00
Closest atoms and distances in Å follow each position.
Atoms (fractional coordinates):
Cr1 0.1384 0.6250 0.2500  2 Si 2.38, 2 Mo 2.50, 2 Cr 2.55
Cr2 0.3750 0.3884 0.7500  2 Si 2.38, 2 Mo 2.50, 2 Cr 2.55
Cr3 0.8750 0.8616 0.7500  2 Si 2.38, 2 Mo 2.50, 2 Cr 2.55
Cr4 0.6116 0.1250 0.2500  2 Si 2.38, 2 Mo 2.50, 2 Cr 2.55
Mo1 0.7500 0.2500 0.5000  4 Cr 2.50, 2 Si 2.54
Mo2 0.0000 0.0000 0.0000  4 Cr 2.50, 2 Si 2.54
Si1 0.2500 0.7500 0.5000  4 Cr 2.38, 2 Mo 2.54
Si2 0.5000 0.5000 0.0000  4 Cr 2.38, 2 Mo 2.54

---

(2)
Computed, not measured: a relaxed Sr2PtN2 crystal at the PBE-GGA level of DFT.

Results
- symmetry = No. 139
- total magnetic moment (μB per atom) = 0.0943
- uncorrected formation energy (eV/f.u.) = -2.94

Lattice parameters (Å, degrees): 3.8835 3.8835 6.9926 106.13 106.13 89.99
Closest atoms and distances in Å follow each position.
Atoms (fractional coordinates):
N1 0.1497 0.1497 0.2994  1 Pt 1.93
N2 0.8503 0.8503 0.7006  1 Pt 1.93
Pt1 0.0000 0.0000 0.0000  2 N 1.93
Sr1 0.6493 0.6493 0.2986  5 N 2.58-2.75
Sr2 0.3507 0.3507 0.7014  5 N 2.58-2.75

---

(3)
Computed, not measured: a relaxed Rb2Tl5Hg3Pt2 crystal at the PBE-GGA level of DFT.

Results
- ΔE_f (meV/atom) = -104
- symmetry = No. 139
- total magnetic moment (μB per atom) = 0.0000

Lattice parameters (Å, degrees): 5.3435 5.3435 15.5318 99.91 99.91 90.00
Closest atoms and distances in Å follow each position.
Atoms (fractional coordinates):
Hg1 0.1716 0.1716 0.3431  4 Tl 3.49, 5 Rb 3.81-3.89
Hg2 0.0000 0.0000 0.0000  12 Tl 3.78-3.96
Hg3 0.8284 0.8284 0.6569  4 Tl 3.49, 5 Rb 3.81-3.89
Pt1 0.5898 0.5898 0.1796  5 Tl 2.68-2.71
Pt2 0.4102 0.4102 0.8204  5 Tl 2.68-2.71
Rb1 0.2981 0.2981 0.5962  1 Pt 3.38
Rb2 0.7019 0.7019 0.4038  1 Pt 3.38
Tl1 0.5970 0.0970 0.1939  2 Pt 2.68
Tl2 0.4030 0.9030 0.8061  2 Pt 2.68
Tl3 0.0970 0.5970 0.1939  2 Pt 2.68
Tl4 0.9030 0.4030 0.8061  2 Pt 2.68
Tl5 0.5000 0.5000 0.0000  2 Pt 2.71

---

(4)
Computed, not measured: a relaxed PmInAgRu crystal at the PBE-GGA level of DFT.

Results
- ΔE_f (meV/atom) = -112
- symmetry = No. 216
- total magnetic moment (μB per atom) = 0.0000

Lattice parameters (Å, degrees): 4.8918 4.8918 4.8918 60.00 60.00 60.00
Closest atoms and distances in Å follow each position.
Atoms (fractional coordinates):
Pm1 0.5000 0.5000 0.5000  4 Ru 3.00, 4 Ag 3.00
Ag1 0.7500 0.7500 0.7500  4 In 3.00, 4 Pm 3.00
In1 0.0000 0.0000 0.0000  4 Ru 3.00, 4 Ag 3.00
Ru1 0.2500 0.2500 0.2500  4 In 3.00, 4 Pm 3.00

---

(5)
Computed, not measured: a relaxed Sr3Mn crystal at the PBE-GGA level of DFT.

Results
- ΔE_f (meV/atom) = 454
- symmetry = No. 225
- total magnetic moment (μB per atom) = 1.1333

Lattice parameters (Å, degrees): 6.1071 6.1071 6.1071 60.00 60.00 60.00
Closest atoms and distances in Å follow each position.
Atoms (fractional coordinates):
Mn1 0.0000 0.0000 0.0000  8 Sr 3.74
Sr1 0.5000 0.5000 0.5000  8 Sr 3.74
Sr2 0.7500 0.7500 0.7500  4 Mn 3.74, 4 Sr 3.74
Sr3 0.2500 0.2500 0.2500  4 Sr 3.74, 4 Mn 3.74

---

(6)
Computed, not measured: a relaxed SrCo2As crystal at the PBE-GGA level of DFT.

Results
- ΔE_f (meV/atom) = -50
- symmetry = No. 6
- total magnetic moment (μB per atom) = 0.2471

Lattice parameters (Å, degrees): 3.7599 3.7663 5.5775 89.91 90.00 90.00
Closest atoms and distances in Å follow each position.
Atoms (fractional coordinates):
Sr1 0.0000 0.3756 0.5217  4 Co 3.15, 4 As 3.20
Co1 0.0000 0.8757 0.0693  2 As 2.27
Co2 0.5000 0.3742 0.0689  2 As 2.27-2.28
As1 0.5000 0.8746 0.8401  4 Co 2.27-2.28

---

(7)
Computed, not measured: a relaxed NpAu3 crystal at the PBE-GGA level of DFT.

Results
- ΔE_f (meV/atom) = 182
- symmetry = No. 139
- total magnetic moment (μB per atom) = 1.0503

Lattice parameters (Å, degrees): 4.0660 4.0660 6.4206 108.46 108.46 90.00
Closest atoms and distances in Å follow each position.
Atoms (fractional coordinates):
Au1 0.7418 0.7418 0.4835  5 Au 2.78-2.88, 1 Np 2.97
Au2 0.5000 0.5000 0.0000  2 Au 2.78, 4 Np 2.88
Au3 0.2582 0.2582 0.5165  5 Au 2.78-2.88, 1 Np 2.97
Np1 0.0000 0.0000 0.0000  6 Au 2.88-2.97

---

(8)
Computed, not measured: a relaxed NiCl crystal at the PBE-GGA level of DFT.

Results
- symmetry = No. 194
- total magnetic moment (μB per atom) = 0.5184
- uncorrected formation energy (eV/f.u.) = 1.31

Lattice parameters (Å, degrees): 4.9586 4.9586 6.6603 90.00 90.00 120.00
Closest atoms and distances in Å follow each position.
Atoms (fractional coordinates):
Ni1 0.3333 0.6667 0.0777  1 Cl 2.18, 1 Ni 2.30
Ni2 0.3333 0.6667 0.4223  1 Cl 2.18, 1 Ni 2.30
Ni3 0.6667 0.3333 0.5777  1 Cl 2.18, 1 Ni 2.30
Ni4 0.6667 0.3333 0.9223  1 Cl 2.18, 1 Ni 2.30
Cl1 0.3333 0.6667 0.7500  2 Ni 2.18
Cl2 0.0000 0.0000 0.2500  3 Cl 2.86, 6 Ni 3.08
Cl3 0.0000 0.0000 0.7500  3 Cl 2.86, 6 Ni 3.08
Cl4 0.6667 0.3333 0.2500  2 Ni 2.18

---

Look up the total magnetic moment of the fifth one.
1.1333 μB per atom

---

Look up the total magnetic moment of the eighth one.
0.5184 μB per atom

---

total magnetic moment of number 4 (PmInAgRu)?
0.0000 μB per atom

---

Repeat the fifth record exactly.
Computed, not measured: a relaxed Sr3Mn crystal at the PBE-GGA level of DFT.

Results
- ΔE_f (meV/atom) = 454
- symmetry = No. 225
- total magnetic moment (μB per atom) = 1.1333

Lattice parameters (Å, degrees): 6.1071 6.1071 6.1071 60.00 60.00 60.00
Closest atoms and distances in Å follow each position.
Atoms (fractional coordinates):
Mn1 0.0000 0.0000 0.0000  8 Sr 3.74
Sr1 0.5000 0.5000 0.5000  8 Sr 3.74
Sr2 0.7500 0.7500 0.7500  4 Mn 3.74, 4 Sr 3.74
Sr3 0.2500 0.2500 0.2500  4 Sr 3.74, 4 Mn 3.74